VASP calculation (GGA+U) on a relaxed structure of MnHPdNO.

a = 2.9325 Å, b = 3.2768 Å, c = 6.2988 Å
α = 84.59°, β = 89.97°, γ = 63.99°
With the nearest neighbours (Å) after each atom.
Positions (direct):
1 H 0.2252 0.5612 0.7147  1 N 1.03
2 N 0.0661 0.8899 0.7586  1 H 1.03
3 Mn 0.5193 0.9852 0.9677  3 O 2.00-2.16, 2 N 2.01, 1 H 2.20
4 O 0.8683 0.2918 0.1166  3 Mn 2.00-2.16, 1 Pd 2.06
5 Pd 0.9465 0.1327 0.4426  1 N 2.04, 1 O 2.06, 1 H 2.27

Summary:
total energy	-6.217	eV per atom